(i)
Density functional theory data (GGA-PBE) for a relaxed structure of NbZnIr3.

Computed properties:
- D(E_F): 0.25 states/eV/atom
- Mass density: 11.22 g/cm³
- Symmetry: Pm-3m, No. 221
- Crystal system: cubic

a = 4.7741 Å, b = 4.7741 Å, c = 4.7741 Å
α = 90.00°, β = 90.00°, γ = 90.00°
Fractional coordinates of all 5 atoms:
Nb: 0.0000 0.0000 0.0000
Zn: 0.5000 0.5000 0.5000
Ir: 0.0000 0.0000 0.5000
Ir: 0.0000 0.5000 0.0000
Ir: 0.5000 0.0000 0.0000

***

(ii)
Density functional theory data (GGA-PBE) for a relaxed structure of NbZnIr3.

Computed properties:
- D(E_F): 0.33 states/eV/atom
- Mass density: 13.78 g/cm³
- Symmetry: Pm-3m, No. 221
- Crystal system: cubic

a = 4.4580 Å, b = 4.4580 Å, c = 4.4580 Å
α = 90.00°, β = 90.00°, γ = 90.00°
Fractional coordinates of all 5 atoms:
Nb: 0.0000 0.0000 0.0000
Zn: 0.5000 0.5000 0.5000
Ir: 0.0000 0.5000 0.5000
Ir: 0.5000 0.0000 0.5000
Ir: 0.5000 0.5000 0.0000

***

Stability, descending: (ii), (i)

***

(i)
Density functional theory data (GGA-PBE) for a relaxed structure of NbZn2Ir2.

Computed properties:
- D(E_F): 0.62 states/eV/atom
- Mass density: 13.05 g/cm³
- Symmetry: P4/mbm, No. 127
- Crystal system: tetragonal

a = 7.1560 Å, b = 7.1560 Å, c = 3.0222 Å
α = 90.00°, β = 90.00°, γ = 90.00°
Fractional coordinates of all 10 atoms:
Nb: 0.0000 0.0000 0.0000
Nb: 0.5000 0.5000 0.0000
Zn: 0.1582 0.3418 0.5000
Zn: 0.3418 0.8418 0.5000
Zn: 0.6582 0.1582 0.5000
Zn: 0.8418 0.6582 0.5000
Ir: 0.1401 0.6401 0.0000
Ir: 0.3599 0.1401 0.0000
Ir: 0.6401 0.8599 0.0000
Ir: 0.8599 0.3599 0.0000

***

(ii)
Density functional theory data (GGA-PBE) for a relaxed structure of NbZn2Ir2.

Computed properties:
- D(E_F): 0.63 states/eV/atom
- Mass density: 12.78 g/cm³
- Symmetry: Cmmm, No. 65
- Crystal system: orthorhombic

a = 2.8892 Å, b = 18.7323 Å, c = 2.9189 Å
α = 90.00°, β = 90.00°, γ = 90.00°
Fractional coordinates of all 10 atoms:
Nb: 0.0000 0.0000 0.0000
Nb: 0.5000 0.5000 0.0000
Zn: 0.0000 0.1904 0.0000
Zn: 0.0000 0.8096 0.0000
Zn: 0.5000 0.3096 0.0000
Zn: 0.5000 0.6904 0.0000
Ir: 0.0000 0.4005 0.5000
Ir: 0.0000 0.5995 0.5000
Ir: 0.5000 0.0995 0.5000
Ir: 0.5000 0.9005 0.5000

***

Stability, descending: (ii), (i)

***

(i)
Density functional theory data (GGA-PBE) for a relaxed structure of Nb3ZnIr.

Computed properties:
- D(E_F): 2.02 states/eV/atom
- Mass density: 9.02 g/cm³
- Symmetry: Pm-3m, No. 221
- Crystal system: cubic

a = 4.6222 Å, b = 4.6222 Å, c = 4.6222 Å
α = 90.00°, β = 90.00°, γ = 90.00°
Fractional coordinates of all 5 atoms:
Nb: 0.0000 0.0000 0.5000
Nb: 0.0000 0.5000 0.0000
Nb: 0.5000 0.0000 0.0000
Zn: 0.0000 0.0000 0.0000
Ir: 0.5000 0.5000 0.5000

***

(ii)
Density functional theory data (GGA-PBE) for a relaxed structure of Nb3ZnIr.

Computed properties:
- D(E_F): 1.64 states/eV/atom
- Mass density: 7.73 g/cm³
- Symmetry: Pm-3m, No. 221
- Crystal system: cubic

a = 4.8662 Å, b = 4.8662 Å, c = 4.8662 Å
α = 90.00°, β = 90.00°, γ = 90.00°
Fractional coordinates of all 5 atoms:
Nb: 0.0000 0.0000 0.5000
Nb: 0.0000 0.5000 0.0000
Nb: 0.5000 0.0000 0.0000
Zn: 0.5000 0.5000 0.5000
Ir: 0.0000 0.0000 0.0000

***

Stability, descending: (ii), (i)

***

(i)
Density functional theory data (GGA-PBE) for a relaxed structure of ZrNbIr2.

Computed properties:
- D(E_F): 1.00 states/eV/atom
- Mass density: 13.86 g/cm³
- Symmetry: P4/mmm, No. 123
- Crystal system: tetragonal

a = 2.9838 Å, b = 2.9838 Å, c = 7.6521 Å
α = 90.00°, β = 90.00°, γ = 90.00°
Fractional coordinates of all 4 atoms:
Zr: 0.0000 0.0000 0.0000
Nb: 0.0000 0.0000 0.5000
Ir: 0.5000 0.5000 0.2636
Ir: 0.5000 0.5000 0.7364

***

(ii)
Density functional theory data (GGA-PBE) for a relaxed structure of ZrNbIr2.

Computed properties:
- D(E_F): 1.25 states/eV/atom
- Mass density: 9.24 g/cm³
- Symmetry: I-42d, No. 122
- Crystal system: tetragonal

a = 5.9675 Å, b = 5.9675 Å, c = 11.4788 Å
α = 90.00°, β = 90.00°, γ = 90.00°
Fractional coordinates of all 16 atoms:
Zr: 0.0000 0.0000 0.0000
Zr: 0.0000 0.5000 0.2500
Zr: 0.5000 0.0000 0.7500
Zr: 0.5000 0.5000 0.5000
Nb: 0.0000 0.0000 0.5000
Nb: 0.0000 0.5000 0.7500
Nb: 0.5000 0.0000 0.2500
Nb: 0.5000 0.5000 0.0000
Ir: 0.2331 0.2500 0.6250
Ir: 0.2500 0.7331 0.8750
Ir: 0.2500 0.7669 0.3750
Ir: 0.2669 0.2500 0.1250
Ir: 0.7331 0.7500 0.1250
Ir: 0.7500 0.2331 0.3750
Ir: 0.7500 0.2669 0.8750
Ir: 0.7669 0.7500 0.6250

***

Stability, descending: (i), (ii)

***

(i)
Density functional theory data (GGA-PBE) for a relaxed structure of ZrNbIr2.

Computed properties:
- D(E_F): 1.01 states/eV/atom
- Mass density: 13.88 g/cm³
- Symmetry: P4/mmm, No. 123
- Crystal system: tetragonal

a = 4.2097 Å, b = 4.2097 Å, c = 3.8373 Å
α = 90.00°, β = 90.00°, γ = 90.00°
Fractional coordinates of all 4 atoms:
Zr: 0.0000 0.0000 0.0000
Nb: 0.5000 0.5000 0.0000
Ir: 0.0000 0.5000 0.5000
Ir: 0.5000 0.0000 0.5000

***

(ii)
Density functional theory data (GGA-PBE) for a relaxed structure of ZrNbIr2.

Computed properties:
- D(E_F): 1.75 states/eV/atom
- Mass density: 13.57 g/cm³
- Symmetry: Fm-3m, No. 225
- Crystal system: cubic

a = 6.5285 Å, b = 6.5285 Å, c = 6.5285 Å
α = 90.00°, β = 90.00°, γ = 90.00°
Fractional coordinates of all 16 atoms:
Zr: 0.0000 0.0000 0.0000
Zr: 0.0000 0.5000 0.5000
Zr: 0.5000 0.0000 0.5000
Zr: 0.5000 0.5000 0.0000
Nb: 0.0000 0.0000 0.5000
Nb: 0.0000 0.5000 0.0000
Nb: 0.5000 0.0000 0.0000
Nb: 0.5000 0.5000 0.5000
Ir: 0.2500 0.2500 0.2500
Ir: 0.2500 0.2500 0.7500
Ir: 0.2500 0.7500 0.2500
Ir: 0.2500 0.7500 0.7500
Ir: 0.7500 0.2500 0.2500
Ir: 0.7500 0.2500 0.7500
Ir: 0.7500 0.7500 0.2500
Ir: 0.7500 0.7500 0.7500

***

Stability, descending: (i), (ii)

***

(i)
Density functional theory data (GGA-PBE) for a relaxed structure of ZrNb2Ir2.

Computed properties:
- D(E_F): 0.96 states/eV/atom
- Mass density: 12.26 g/cm³
- Symmetry: P4/mbm, No. 127
- Crystal system: tetragonal

a = 7.7140 Å, b = 7.7140 Å, c = 3.0102 Å
α = 90.00°, β = 90.00°, γ = 90.00°
Fractional coordinates of all 10 atoms:
Zr: 0.0000 0.0000 0.0000
Zr: 0.5000 0.5000 0.0000
Nb: 0.1661 0.3339 0.5000
Nb: 0.3339 0.8339 0.5000
Nb: 0.6661 0.1661 0.5000
Nb: 0.8339 0.6661 0.5000
Ir: 0.1304 0.6304 0.0000
Ir: 0.3696 0.1304 0.0000
Ir: 0.6304 0.8696 0.0000
Ir: 0.8696 0.3696 0.0000

***

(ii)
Density functional theory data (GGA-PBE) for a relaxed structure of ZrNb2Ir2.

Computed properties:
- D(E_F): 0.75 states/eV/atom
- Mass density: 12.31 g/cm³
- Symmetry: P4/mbm, No. 127
- Crystal system: tetragonal

a = 7.8501 Å, b = 7.8501 Å, c = 2.8954 Å
α = 90.00°, β = 90.00°, γ = 90.00°
Fractional coordinates of all 10 atoms:
Zr: 0.0000 0.0000 0.0000
Zr: 0.5000 0.5000 0.0000
Nb: 0.1516 0.3484 0.0000
Nb: 0.3484 0.8484 0.0000
Nb: 0.6516 0.1516 0.0000
Nb: 0.8484 0.6516 0.0000
Ir: 0.1451 0.6451 0.5000
Ir: 0.3549 0.1451 0.5000
Ir: 0.6451 0.8549 0.5000
Ir: 0.8549 0.3549 0.5000

***

Stability, descending: (i), (ii)

***

(i)
Density functional theory data (GGA-PBE) for a relaxed structure of Nd4Ir.

Computed properties:
- D(E_F): 1.16 states/eV/atom
- Mass density: 7.73 g/cm³
- Symmetry: I4_1/amd, No. 141
- Crystal system: tetragonal

a = 7.5478 Å, b = 7.5478 Å, c = 7.5478 Å
α = 108.24°, β = 108.24°, γ = 111.96°
Fractional coordinates of all 10 atoms:
Nd: 0.2068 0.2593 0.5524
Nd: 0.2068 0.6544 0.9476
Nd: 0.2593 0.2068 0.0524
Nd: 0.3456 0.7932 0.5524
Nd: 0.6544 0.2068 0.4476
Nd: 0.7407 0.7932 0.9476
Nd: 0.7932 0.3456 0.0524
Nd: 0.7932 0.7407 0.4476
Ir: 0.1250 0.8750 0.2500
Ir: 0.8750 0.1250 0.7500

***

(ii)
Density functional theory data (GGA-PBE) for a relaxed structure of Nd4Ir.

Computed properties:
- D(E_F): 1.71 states/eV/atom
- Mass density: 7.14 g/cm³
- Symmetry: Pm-3m, No. 221
- Crystal system: cubic

a = 5.6352 Å, b = 5.6352 Å, c = 5.6352 Å
α = 90.00°, β = 90.00°, γ = 90.00°
Fractional coordinates of all 5 atoms:
Nd: 0.0000 0.0000 0.0000
Nd: 0.0000 0.5000 0.5000
Nd: 0.5000 0.0000 0.5000
Nd: 0.5000 0.5000 0.0000
Ir: 0.5000 0.5000 0.5000

***

Stability, descending: (i), (ii)

***

(i)
Density functional theory data (GGA-PBE) for a relaxed structure of Nd8NiIr2.

Computed properties:
- D(E_F): 1.20 states/eV/atom
- Mass density: 8.57 g/cm³
- Symmetry: C2/m, No. 12
- Crystal system: monoclinic

a = 9.2454 Å, b = 9.2454 Å, c = 7.0175 Å
α = 99.27°, β = 99.27°, γ = 31.54°
Fractional coordinates of all 11 atoms:
Nd: 0.0358 0.0358 0.2810
Nd: 0.2035 0.2035 0.8340
Nd: 0.3346 0.3346 0.5344
Nd: 0.4109 0.4109 0.0568
Nd: 0.5891 0.5891 0.9432
Nd: 0.6654 0.6654 0.4656
Nd: 0.7965 0.7965 0.1660
Nd: 0.9642 0.9642 0.7190
Ni: 0.5000 0.5000 0.5000
Ir: 0.2032 0.2032 0.2388
Ir: 0.7968 0.7968 0.7612

***

(ii)
Density functional theory data (GGA-PBE) for a relaxed structure of Nd8NiIr2.

Computed properties:
- D(E_F): 0.91 states/eV/atom
- Mass density: 8.14 g/cm³
- Symmetry: Cm, No. 8
- Crystal system: monoclinic

a = 7.5858 Å, b = 7.5858 Å, c = 6.4406 Å
α = 101.20°, β = 101.20°, γ = 110.64°
Fractional coordinates of all 11 atoms:
Nd: 0.0000 0.0000 0.0000
Nd: 0.0087 0.2772 0.5849
Nd: 0.1657 0.5589 0.2028
Nd: 0.2772 0.0087 0.5849
Nd: 0.4374 0.7066 0.8340
Nd: 0.5589 0.1657 0.2028
Nd: 0.7066 0.4374 0.8340
Nd: 0.7150 0.7150 0.4010
Ni: 0.3517 0.3517 0.9908
Ir: 0.0396 0.6704 0.7005
Ir: 0.6704 0.0396 0.7005

***

Stability, descending: (i), (ii)